Record 1
A plane-wave DFT calculation with PBE was carried out for a relaxed structure of MgCoTcSn.

- Total energy: -5.629 eV per atom
- ΔE to the lowest computed polymorph: 0 meV/atom

a = 4.443 Å, b = 4.443 Å, c = 4.443 Å
α = 60.00°, β = 60.00°, γ = 60.00°
Atoms (fractional coordinates):
Mg1 0.000 0.000 0.000
Co1 0.750 0.750 0.750
Tc1 0.250 0.250 0.250
Sn1 0.500 0.500 0.500

Record 2
A plane-wave DFT calculation with PBE was carried out for a relaxed structure of MgTlCoSn.

- Total energy: -3.458 eV per atom
- ΔE to the lowest computed polymorph: 0 meV/atom

a = 4.804 Å, b = 4.804 Å, c = 4.804 Å
α = 60.00°, β = 60.00°, γ = 60.00°
Atoms (fractional coordinates):
Mg1 0.000 0.000 0.000
Tl1 0.250 0.250 0.250
Co1 0.500 0.500 0.500
Sn1 0.750 0.750 0.750